Crystalline Mn2BeW at its relaxed geometry. Source: Alexandria via LeMat-Bulk, functional PBEsol.

```
Mn2BeW
1.0
2.2462 -1.2935 0.0000
2.2462 1.2935 0.0000
-1.4740 0.0000 8.0415
Mn Be W
2 1 1
direct
0.0000 0.0000 0.0000
0.7408 0.7408 0.2250
0.4861 0.4861 0.4562
0.2411 0.2411 0.7225
```

Computed properties:
SG: Cm
ΔE_f: 1.263 eV per formula unit